A geometry-optimized RbVBr6 structure, computed with GGA-PBE.

Calculated values
**Magnetization**: 0.0 Bohr magnetons per cell
**SG**: Fm-3m, No. 225
**Raw total energy**: -3.3427 eV/atom

a = 8.404 Å, b = 8.404 Å, c = 8.404 Å
α = 60.00°, β = 60.00°, γ = 60.00°
Positions (direct):
Rb: 0.500 0.500 0.500
V: 0.000 0.000 0.000
Br: 0.794 0.794 0.206
Br: 0.794 0.206 0.206
Br: 0.206 0.794 0.794
Br: 0.206 0.206 0.794
Br: 0.206 0.794 0.206
Br: 0.794 0.206 0.794